# 1
LaPNO2: optimized geometry, PBE.

CIF file:
```
data_LaPNO2
_cell_length_a 4.2299
_cell_length_b 4.2299
_cell_length_c 6.9814
_cell_angle_alpha 90.00
_cell_angle_beta 90.00
_cell_angle_gamma 90.00
_space_group_name_H-M_alt 'P 1'
_space_group_IT_number 1
_space_group_name_Hall 'P 1'
loop_
_atom_site_label
_atom_site_type_symbol
_atom_site_fract_x
_atom_site_fract_y
_atom_site_fract_z
P1 P 0.0000 0.0000 0.5000
N1 N 0.5000 0.5000 0.5000
O1 O 0.0000 0.5000 0.0000
O2 O 0.5000 0.0000 0.0000
La1 La 0.0000 0.0000 0.0000
```

Computed properties:
- uncorrected formation energy (eV/f.u.) = 1.6
- DFT total energy (eV/atom) = -5.40
- SG = P4/mmm

=====

# 2
LaPdNO2: optimized geometry, PBE.

CIF file:
```
data_LaPdNO2
_cell_length_a 4.1193
_cell_length_b 4.1193
_cell_length_c 3.8835
_cell_angle_alpha 90.00
_cell_angle_beta 90.00
_cell_angle_gamma 90.00
_space_group_name_H-M_alt 'P 1'
_space_group_IT_number 1
_space_group_name_Hall 'P 1'
loop_
_atom_site_label
_atom_site_type_symbol
_atom_site_fract_x
_atom_site_fract_y
_atom_site_fract_z
N1 N 0.0000 0.0000 0.5000
O1 O 0.0000 0.5000 0.0000
O2 O 0.5000 0.0000 0.0000
Pd1 Pd 0.0000 0.0000 0.0000
La1 La 0.5000 0.5000 0.5000
```

Computed properties:
- uncorrected formation energy (eV/f.u.) = -5.1
- DFT total energy (eV/atom) = -6.69
- SG = P4/mmm

=====

# 3
LaPdNO2: optimized geometry, PBE.

CIF file:
```
data_LaPdNO2
_cell_length_a 4.4273
_cell_length_b 4.4273
_cell_length_c 4.9719
_cell_angle_alpha 90.00
_cell_angle_beta 90.00
_cell_angle_gamma 90.00
_space_group_name_H-M_alt 'P 1'
_space_group_IT_number 1
_space_group_name_Hall 'P 1'
loop_
_atom_site_label
_atom_site_type_symbol
_atom_site_fract_x
_atom_site_fract_y
_atom_site_fract_z
N1 N 0.0000 0.0000 0.5000
O1 O 0.0000 0.5000 0.0000
O2 O 0.5000 0.0000 0.0000
Pd1 Pd 0.5000 0.5000 0.5000
La1 La 0.0000 0.0000 0.0000
```

Computed properties:
- uncorrected formation energy (eV/f.u.) = 0.3
- DFT total energy (eV/atom) = -5.61
- SG = P4/mmm

=====

# 4
LaPdN2O: optimized geometry, PBE.

CIF file:
```
data_LaPdN2O
_cell_length_a 4.8641
_cell_length_b 4.8641
_cell_length_c 4.3407
_cell_angle_alpha 90.00
_cell_angle_beta 90.00
_cell_angle_gamma 90.00
_space_group_name_H-M_alt 'P 1'
_space_group_IT_number 1
_space_group_name_Hall 'P 1'
loop_
_atom_site_label
_atom_site_type_symbol
_atom_site_fract_x
_atom_site_fract_y
_atom_site_fract_z
N1 N 0.0000 0.5000 0.0000
N2 N 0.5000 0.0000 0.0000
O1 O 0.0000 0.0000 0.5000
Pd1 Pd 0.5000 0.5000 0.5000
La1 La 0.0000 0.0000 0.0000
```

Computed properties:
- uncorrected formation energy (eV/f.u.) = 4.5
- DFT total energy (eV/atom) = -5.45
- SG = P4/mmm

=====

# 5
LaPdN2O: optimized geometry, PBE.

CIF file:
```
data_LaPdN2O
_cell_length_a 3.9369
_cell_length_b 3.9369
_cell_length_c 4.1432
_cell_angle_alpha 90.00
_cell_angle_beta 90.00
_cell_angle_gamma 90.00
_space_group_name_H-M_alt 'P 1'
_space_group_IT_number 1
_space_group_name_Hall 'P 1'
loop_
_atom_site_label
_atom_site_type_symbol
_atom_site_fract_x
_atom_site_fract_y
_atom_site_fract_z
N1 N 0.0000 0.5000 0.0000
N2 N 0.5000 0.0000 0.0000
O1 O 0.0000 0.0000 0.5000
Pd1 Pd 0.0000 0.0000 0.0000
La1 La 0.5000 0.5000 0.5000
```

Computed properties:
- uncorrected formation energy (eV/f.u.) = -1.2
- DFT total energy (eV/atom) = -6.59
- SG = P4/mmm

=====

# 6
LaPtN2O: optimized geometry, PBE.

CIF file:
```
data_LaPtN2O
_cell_length_a 3.9523
_cell_length_b 3.9523
_cell_length_c 4.2400
_cell_angle_alpha 90.00
_cell_angle_beta 90.00
_cell_angle_gamma 90.00
_space_group_name_H-M_alt 'P 1'
_space_group_IT_number 1
_space_group_name_Hall 'P 1'
loop_
_atom_site_label
_atom_site_type_symbol
_atom_site_fract_x
_atom_site_fract_y
_atom_site_fract_z
N1 N 0.0000 0.5000 0.0000
N2 N 0.5000 0.0000 0.0000
O1 O 0.0000 0.0000 0.5000
Pt1 Pt 0.0000 0.0000 0.0000
La1 La 0.5000 0.5000 0.5000
```

Computed properties:
- uncorrected formation energy (eV/f.u.) = -1.7
- DFT total energy (eV/atom) = -6.86
- SG = P4/mmm

=====

> Which of these has the lowest uncorrected formation energy?

number 2